# HfNb3In

Crystalline HfNb3In at its relaxed geometry (PBE-GGA, Alexandria via LeMat-Bulk).

Lattice parameters (Å, degrees): 4.936 4.936 4.936 90.00 90.00 90.00
Space group Pm-3m (No. 221)
One atom of each set of equivalent atoms:
Hf 0.000 0.000 0.000
Nb 0.000 0.000 0.500
In 0.500 0.500 0.500

Calculated values
The calculation puts the formation energy from the elements at 7.01 eV per formula unit. Its distance to the lowest polymorph of the same formula is 0.00 eV/f.u.